1.
! GGA-PBE VBiN, relaxed; values from VASP
&SYSTEM
  ibrav = 0, nat = 12, ntyp = 3
/
ATOMIC_SPECIES
N 14.01 N.upf
V 50.94 V.upf
Bi 208.98 Bi.upf
CELL_PARAMETERS angstrom
-2.972 0.256 1.010
0.226 -1.912 6.063
0.693 11.550 4.026
ATOMIC_POSITIONS angstrom
N -1.297 9.036 3.716
V 0.034 8.095 2.961
N -0.982 2.770 1.319
N 0.221 7.525 6.111
Bi -2.530 -0.271 2.446
V -1.110 8.466 6.866
V -2.313 3.711 2.075
Bi -1.327 4.484 7.238
V -2.429 1.556 4.737
Bi -2.212 5.538 4.365
Bi -0.217 -1.385 4.626
N -0.788 2.241 4.482
! Formation energy without anion corrections   0.165 eV per atom
! Uncorrected energy   -6.9435 eV per atom
! Density   7.71 Mg/m³


2.
! GGA-PBE ScMo2Br, relaxed; values from VASP
&SYSTEM
  ibrav = 0, nat = 4, ntyp = 3
/
ATOMIC_SPECIES
Mo 95.94 Mo.upf
Sc 44.96 Sc.upf
Br 79.90 Br.upf
CELL_PARAMETERS angstrom
-0.433 -0.878 -2.762
1.683 -1.969 1.372
-7.435 -4.538 2.608
ATOMIC_POSITIONS angstrom
Mo -7.396 -4.515 2.594
Sc -1.234 -2.558 -0.043
Mo -3.756 -2.293 1.317
Br -4.951 -4.827 1.261
! Formation energy without anion corrections   0.641 eV per atom
! Uncorrected energy   -6.7754 eV per atom
! Density   7.12 Mg/m³
! Offset from the most stable computed form   715 meV per atom


3.
! GGA-PBE PmHo14Er, relaxed; values from VASP
&SYSTEM
  ibrav = 0, nat = 16, ntyp = 3
/
ATOMIC_SPECIES
Ho 164.93 Ho.upf
Pm 145.00 Pm.upf
Er 167.26 Er.upf
CELL_PARAMETERS angstrom
7.042 -0.852 0.000
-2.783 6.524 0.000
0.000 0.000 11.404
ATOMIC_POSITIONS angstrom
Ho 1.148 5.789 0.000
Ho 0.901 3.758 2.853
Ho -2.372 6.216 0.000
Ho 0.653 1.725 5.702
Ho 4.423 3.334 2.836
Ho 5.816 0.068 8.571
Ho 4.423 3.334 8.568
Pm 4.175 1.300 5.702
Ho 2.291 0.494 2.836
Ho 2.538 2.529 0.000
Ho 2.784 4.563 5.702
Ho 0.901 3.758 8.551
Ho 2.291 0.494 8.568
Ho -0.980 2.955 0.000
Er -0.737 4.988 5.702
Ho 5.816 0.068 2.833
! ΔH_f (0 K)   0.00 eV/atom
! Uncorrected energy   -4.5828 eV per atom
! Density   8.76 Mg/m³


4.
! GGA-PBE Sc2InBr, relaxed; values from VASP
&SYSTEM
  ibrav = 0, nat = 4, ntyp = 3
/
ATOMIC_SPECIES
Sc 44.96 Sc.upf
In 114.82 In.upf
Br 79.90 Br.upf
CELL_PARAMETERS angstrom
5.543 0.000 -0.006
1.000 5.452 0.006
-2.277 -3.920 3.190
ATOMIC_POSITIONS angstrom
Sc 6.379 5.316 0.000
In 0.998 2.129 1.598
Br 3.269 -0.597 1.592
Sc 3.436 2.863 0.000
! Formation energy without anion corrections   -0.409 eV per atom
! Uncorrected energy   -4.6773 eV per atom
! Density   4.90 Mg/m³
! Offset from the most stable computed form   201 meV per atom


5.
! GGA-PBE RbBaNaLi, relaxed; values from VASP
&SYSTEM
  ibrav = 0, nat = 4, ntyp = 4
/
ATOMIC_SPECIES
Ba 137.33 Ba.upf
Na 22.99 Na.upf
Rb 85.47 Rb.upf
Li 6.94 Li.upf
CELL_PARAMETERS angstrom
-1.562 6.262 -1.441
-5.922 2.404 1.694
-0.488 4.482 4.836
ATOMIC_POSITIONS angstrom
Ba -3.986 6.574 2.545
Na -5.979 9.861 3.817
Rb 0.000 0.000 0.000
Li -1.993 3.287 1.272
! ΔH_f (0 K)   0.13 eV/atom
! Uncorrected energy   -1.4024 eV per atom
! Density   2.05 Mg/m³


6.
! GGA-PBE Hf7Co2Au2, relaxed; values from VASP
&SYSTEM
  ibrav = 0, nat = 11, ntyp = 3
/
ATOMIC_SPECIES
Co 58.93 Co.upf
Au 196.97 Au.upf
Hf 178.49 Hf.upf
CELL_PARAMETERS angstrom
6.137 -0.003 -0.744
0.003 6.299 0.003
-1.125 -0.002 6.079
ATOMIC_POSITIONS angstrom
Co 4.010 6.296 1.260
Au 0.933 3.148 0.992
Hf 3.071 4.726 -0.370
Hf -0.562 1.570 3.040
Au 4.083 3.146 4.345
Hf 5.577 4.724 2.298
Co 1.006 -0.002 4.077
Hf 1.945 1.568 5.708
Hf 2.508 4.767 2.670
Hf 2.507 1.527 2.668
Hf 0.000 0.000 0.000
! ΔH_f (0 K)   -0.09 eV/atom
! Uncorrected energy   -8.3079 eV per atom
! Density   12.73 Mg/m³
! Offset from the most stable computed form   241 meV per atom


7.
! GGA-PBE Ti5NbRu6, relaxed; values from VASP
&SYSTEM
  ibrav = 0, nat = 12, ntyp = 3
/
ATOMIC_SPECIES
Ru 101.07 Ru.upf
Ti 47.87 Ti.upf
Nb 92.91 Nb.upf
CELL_PARAMETERS angstrom
4.215 0.018 -1.230
-0.849 5.434 -2.830
-0.077 0.415 7.580
ATOMIC_POSITIONS angstrom
Ru 0.325 2.421 1.149
Ti 0.643 4.803 2.271
Ru -0.097 5.120 -0.257
Ti 2.220 3.777 -0.174
Ru 1.474 4.066 -2.728
Ti -0.424 2.717 -1.415
Ti 1.069 2.090 3.694
Nb 0.000 0.000 0.000
Ti 2.647 1.064 1.249
Ru 1.892 1.387 -1.332
Ru 3.386 0.747 3.777
Ru 2.964 3.446 2.371
! ΔH_f (0 K)   -0.67 eV/atom
! Uncorrected energy   -9.4387 eV per atom
! Density   8.73 Mg/m³


8.
! GGA-PBE NaIrRu, relaxed; values from VASP
&SYSTEM
  ibrav = 0, nat = 6, ntyp = 3
/
ATOMIC_SPECIES
Na 22.99 Na.upf
Ir 192.22 Ir.upf
Ru 101.07 Ru.upf
CELL_PARAMETERS angstrom
4.625 -0.001 0.000
-2.021 5.094 0.000
0.991 -1.424 4.303
ATOMIC_POSITIONS angstrom
Na 0.403 0.747 0.584
Na 2.118 1.079 2.147
Ir 1.033 3.750 0.466
Ir 1.885 4.070 2.963
Ru 4.237 1.428 4.042
Ru -0.517 3.143 2.324
! ΔH_f (0 K)   0.41 eV/atom
! Uncorrected energy   -6.0779 eV per atom
! Density   10.36 Mg/m³
! Offset from the most stable computed form   74 meV per atom